Entry w
The following is a DFT calculation (PBE-GGA) of an optimized crystal structure of In2CoBiPb.

Values from the calculation:
Density, g cm⁻³: 9.12

Cell: 4.9926 4.9926 5.1458 Å, 90.00 90.00 90.00°
With the nearest neighbours (Å) after each atom.
Positions (direct):
Pb (0.5000, 0.5000, 0.5000)  4 Bi 3.53, 8 In 3.58
Co (0.0000, 0.0000, 0.0000)  4 In 2.50, 2 Bi 2.57
Bi (0.0000, 0.0000, 0.5000)  2 Co 2.57
In (0.0000, 0.5000, 0.0000)  2 Co 2.50
In (0.5000, 0.0000, 0.0000)  2 Co 2.50

***

Entry x
The following is a DFT calculation (PBE-GGA) of an optimized crystal structure of In2CoBiPb.

Values from the calculation:
Density, g cm⁻³: 8.97

Cell: 5.0652 5.0652 5.0861 Å, 90.00 90.00 90.00°
With the nearest neighbours (Å) after each atom.
Positions (direct):
Pb (0.0000, 0.0000, 0.5000)  2 Co 2.54
Co (0.0000, 0.0000, 0.0000)  4 In 2.53, 2 Pb 2.54
Bi (0.5000, 0.5000, 0.5000)  4 Pb 3.58, 8 In 3.59
In (0.0000, 0.5000, 0.0000)  2 Co 2.53
In (0.5000, 0.0000, 0.0000)  2 Co 2.53

***

Least stable = entry w

***

Entry w
The following is a DFT calculation (PBE-GGA) of an optimized crystal structure of CoBiIr3.

Values from the calculation:
Density, g cm⁻³: 11.56

Cell: 4.9508 4.9508 4.9508 Å, 90.00 90.00 90.00°
With the nearest neighbours (Å) after each atom.
Positions (direct):
Ir (0.0000, 0.5000, 0.0000)  2 Bi 2.48
Ir (0.0000, 0.0000, 0.5000)  2 Bi 2.48
Ir (0.5000, 0.0000, 0.0000)  2 Bi 2.48
Co (0.5000, 0.5000, 0.5000)  12 Ir 3.50
Bi (0.0000, 0.0000, 0.0000)  6 Ir 2.48

***

Entry x
The following is a DFT calculation (PBE-GGA) of an optimized crystal structure of CoBiIr3.

Values from the calculation:
Density, g cm⁻³: 14.82

Cell: 4.5569 4.5569 4.5569 Å, 90.00 90.00 90.00°
With the nearest neighbours (Å) after each atom.
Positions (direct):
Ir (0.0000, 0.5000, 0.0000)  2 Co 2.28
Ir (0.0000, 0.0000, 0.5000)  2 Co 2.28
Ir (0.5000, 0.0000, 0.0000)  2 Co 2.28
Co (0.0000, 0.0000, 0.0000)  6 Ir 2.28
Bi (0.5000, 0.5000, 0.5000)  12 Ir 3.22

***

Least stable = entry w

***

Entry w
The following is a DFT calculation (PBE-GGA) of an optimized crystal structure of KCoBi3.

Values from the calculation:
Density, g cm⁻³: 5.93

Cell: 5.8773 5.8773 5.8773 Å, 90.00 90.00 90.00°
With the nearest neighbours (Å) after each atom.
Positions (direct):
K (0.0000, 0.0000, 0.0000)  6 Bi 2.94
Co (0.5000, 0.5000, 0.5000)  12 Bi 4.16
Bi (0.0000, 0.5000, 0.0000)  2 K 2.94
Bi (0.0000, 0.0000, 0.5000)  2 K 2.94
Bi (0.5000, 0.0000, 0.0000)  2 K 2.94

***

Entry x
The following is a DFT calculation (PBE-GGA) of an optimized crystal structure of KCoBi3.

Values from the calculation:
Density, g cm⁻³: 8.03

Cell: 5.3122 5.3122 5.3122 Å, 90.00 90.00 90.00°
With the nearest neighbours (Å) after each atom.
Positions (direct):
K (0.5000, 0.5000, 0.5000)  12 Bi 3.76
Co (0.0000, 0.0000, 0.0000)  6 Bi 2.66
Bi (0.0000, 0.5000, 0.0000)  2 Co 2.66
Bi (0.0000, 0.0000, 0.5000)  2 Co 2.66
Bi (0.5000, 0.0000, 0.0000)  2 Co 2.66

***

Least stable = entry w

***

Entry w
The following is a DFT calculation (PBE-GGA) of an optimized crystal structure of La3CoBi.

Values from the calculation:
Density, g cm⁻³: 7.41

Cell: 13.0595 8.8097 8.8097 Å, 90.82 124.52 55.48°
With the nearest neighbours (Å) after each atom.
Positions (direct):
Co (0.3197, 0.1279, 0.5644)  1 Co 2.50, 1 La 2.60
Co (0.1803, 0.0644, 0.6279)  1 Co 2.50, 1 La 2.60
Co (0.6803, 0.8721, 0.4356)  1 Co 2.50, 1 La 2.60
Co (0.8197, 0.9356, 0.3721)  1 Co 2.50, 1 La 2.60
Bi (0.7500, 0.2563, 0.7563)  8 La 3.34-3.71
Bi (0.2500, 0.7437, 0.2437)  8 La 3.34-3.71
Bi (0.7500, 0.5923, 0.0923)  8 La 3.30-3.43
Bi (0.2500, 0.4077, 0.9077)  8 La 3.30-3.43
La (0.4272, 0.2519, 0.4098)  2 Co 2.97-3.00, 1 La 3.27
La (0.0728, 0.9098, 0.7519)  2 Co 2.97-3.00, 1 La 3.27
La (0.5728, 0.7481, 0.5902)  2 Co 2.97-3.00, 1 La 3.27
La (0.9272, 0.0902, 0.2481)  2 Co 2.97-3.00, 1 La 3.27
La (0.0965, 0.2179, 0.1842)  1 Co 2.60
La (0.4035, 0.6842, 0.7179)  1 Co 2.60
La (0.9035, 0.7821, 0.8158)  1 Co 2.60
La (0.5965, 0.3158, 0.2821)  1 Co 2.60
La (0.5819, 0.0739, 0.9383)  2 Co 2.85-2.87
La (0.9181, 0.4383, 0.5739)  2 Co 2.85-2.87
La (0.4181, 0.9261, 0.0617)  2 Co 2.85-2.87
La (0.0819, 0.5617, 0.4261)  2 Co 2.85-2.87

***

Entry x
The following is a DFT calculation (PBE-GGA) of an optimized crystal structure of La3CoBi.

Values from the calculation:
Density, g cm⁻³: 7.87

Cell: 5.5336 5.5336 10.8893 Å, 90.00 90.00 120.00°
With the nearest neighbours (Å) after each atom.
Positions (direct):
Co (0.0000, 0.0000, 0.0000)  2 La 2.72
Co (0.0000, 0.0000, 0.5000)  2 La 2.72
Bi (0.3333, 0.6667, 0.7500)  5 La 3.19-3.26
Bi (0.6667, 0.3333, 0.2500)  5 La 3.19-3.26
La (0.0000, 0.0000, 0.2500)  2 Co 2.72
La (0.0000, 0.0000, 0.7500)  2 Co 2.72
La (0.3333, 0.6667, 0.0497)  3 Co 3.24, 1 Bi 3.26, 3 La 3.37
La (0.3333, 0.6667, 0.4503)  3 Co 3.24, 1 Bi 3.26, 3 La 3.37
La (0.6667, 0.3333, 0.5497)  3 Co 3.24, 1 Bi 3.26, 3 La 3.37
La (0.6667, 0.3333, 0.9503)  3 Co 3.24, 1 Bi 3.26, 3 La 3.37

***

Least stable = entry x